A geometry-optimized NaSrNiPd2 structure. Source: the Alexandria database, functional PBE.

It has space group P4/mmm (No. 123), with a = 4.844 Å, b = 4.844 Å, c = 4.790 Å, α = 90.00°, β = 90.00° and γ = 90.00°. Symmetry generates all atoms from Na at (0.000, 0.000, 0.000), Sr at (0.500, 0.500, 0.000), Ni at (0.000, 0.000, 0.500) and Pd at (0.000, 0.500, 0.500).

As for the energy relative to the elements: 0.065 eV per atom. Its energy is -3.769 eV/atom. The calculation puts the density of states at the Fermi level at 1.121 states/eV/atom.